Compound: Co2AgAs
Source: Alexandria via LeMat-Bulk
Functional: PBE-GGA
Structure: relaxed

Output
VASP energy (eV/atom): -5.18
Crystal system: trigonal
ΔH_f (0 K) (eV/atom): 0.2503

Cell and atoms, written as POSCAR:
```
Co2AgAs
1.0
1.430 0.826 7.907
-1.430 0.826 7.907
0.000 -1.651 7.907
Co Ag As
2 1 1
direct
0.240 0.240 0.240
0.760 0.760 0.760
0.000 0.000 0.000
0.500 0.500 0.500
```

=====

Compound: BaOsI2O
Source: Alexandria via LeMat-Bulk
Functional: PBE-GGA
Structure: relaxed

Output
VASP energy (eV/atom): -3.55
Crystal system: tetragonal
Formation energy without anion corrections (meV/atom): 697

Cell and atoms, written as POSCAR:
```
BaOsI2O
1.0
6.775 0.000 0.000
0.000 6.775 0.000
0.000 0.000 4.470
Ba Os I O
1 1 2 1
direct
0.000 0.000 0.000
0.500 0.500 0.500
0.000 0.500 0.000
0.500 0.000 0.000
0.000 0.000 0.500
```

=====

Compound: HoCd6Hg12
Source: Alexandria via LeMat-Bulk
Functional: PBE-GGA
Structure: relaxed

Output
VASP energy (eV/atom): -0.76
Crystal system: trigonal
ΔH_f (0 K) (eV/atom): -0.0438

Cell and atoms, written as POSCAR:
```
HoCd6Hg12
1.0
6.713 3.876 3.162
-6.713 3.876 3.162
0.000 -7.751 3.162
Ho Cd Hg
1 6 12
direct
0.000 0.000 0.000
0.157 0.431 0.263
0.263 0.157 0.431
0.431 0.263 0.157
0.569 0.737 0.843
0.737 0.843 0.569
0.843 0.569 0.737
0.001 0.299 0.846
0.154 0.999 0.701
0.165 0.480 0.636
0.299 0.846 0.001
0.364 0.835 0.520
0.480 0.636 0.165
0.520 0.364 0.835
0.636 0.165 0.480
0.701 0.154 0.999
0.835 0.520 0.364
0.846 0.001 0.299
0.999 0.701 0.154
```